Record 1
Compound: SiRh2Br
Source: the Alexandria database
Functional: PBE-GGA
Structure: relaxed

As for the total energy: -22.63 eV per cell.

abc: 6.914 6.914 6.914
angles: 154.15 151.60 38.78
Fractional coordinates of all 4 atoms:
Si 0.000 0.000 0.000
Rh 0.383 0.883 0.500
Rh 0.571 0.571 0.000
Br 0.745 0.245 0.500



Record 2
Compound: NbAg3P
Source: the Alexandria database
Functional: PBE-GGA
Structure: relaxed

The energy of formation from the pure elements is 177.3 kJ/mol of atoms.

abc: 5.132 5.132 5.132
angles: 90.00 90.00 90.00
Fractional coordinates of all 5 atoms:
Nb 0.000 0.000 0.000
Ag 0.000 0.000 0.500
Ag 0.000 0.500 0.000
Ag 0.500 0.000 0.000
P 0.500 0.500 0.500



Record 3
Compound: Al2IrOs
Source: the Alexandria database
Functional: PBE-GGA
Structure: relaxed

The energy of formation from the pure elements is -29.6 kJ/mol of atoms.

abc: 2.814 2.814 8.270
angles: 90.00 90.00 117.72
Fractional coordinates of all 4 atoms:
Al 0.000 0.000 0.250
Al 0.000 0.000 0.750
Ir 0.500 0.500 0.000
Os 0.500 0.500 0.500



Record 4
Compound: Be2H
Source: the Alexandria database
Functional: PBE-GGA
Structure: relaxed

As for the total energy: -20.86 eV per cell.

abc: 2.103 2.514 9.212
angles: 89.94 88.25 89.99
Fractional coordinates of all 6 atoms:
Be 0.216 0.249 0.255
Be 0.261 0.250 0.917
Be 0.739 0.750 0.083
Be 0.784 0.751 0.745
H 0.299 0.751 0.637
H 0.701 0.249 0.363



Result set for size of the total moment: 0.0 1.6 0.0 0.0 μB per formula unit, one per record in the order listed.